# 1
BeZn2Hg | GGA-PBE | optimized geometry

```
data_BeZn2Hg
_space_group_name_H-M_alt 'P m m 2'
_space_group_IT_number 25
_space_group_name_Hall 'P 2 -2'
_cell_length_a 3.2720
_cell_length_b 3.5712
_cell_length_c 5.3637
_cell_angle_alpha 90.00
_cell_angle_beta 90.00
_cell_angle_gamma 90.00
loop_
_atom_site_label
_atom_site_fract_x
_atom_site_fract_y
_atom_site_fract_z
Be1 0.0000 0.0000 0.0000
Zn1 0.0000 0.0000 0.5461
Zn2 0.5000 0.5000 0.7652
Hg1 0.5000 0.5000 0.2490
```

Summary:
- calculated density (kg/m³) = 9019
- E_tot (eV per atom) = -1.356
- DFT formation energy (eV per atom) = 0.288
- N(E_F) (states/eV/cell) = 0.6
- M_tot (μB per formula unit) = 0.0

---

# 2
ZnCuIr3 | GGA-PBE | optimized geometry

```
data_ZnCuIr3
_space_group_name_H-M_alt 'P m -3 m'
_space_group_IT_number 221
_space_group_name_Hall '-P 4 2 3'
_cell_length_a 4.4767
_cell_length_b 4.4767
_cell_length_c 4.4767
_cell_angle_alpha 90.00
_cell_angle_beta 90.00
_cell_angle_gamma 90.00
loop_
_atom_site_label
_atom_site_fract_x
_atom_site_fract_y
_atom_site_fract_z
Zn1 0.0000 0.0000 0.0000
Cu1 0.5000 0.5000 0.5000
Ir1 0.0000 0.5000 0.5000
```

Summary:
- calculated density (kg/m³) = 13059
- E_tot (eV per atom) = -4.847
- DFT formation energy (eV per atom) = 1.543
- N(E_F) (states/eV/cell) = 6.9
- M_tot (μB per formula unit) = 0.0

---

# 3
Pu2Bi5O12 | GGA-PBE | optimized geometry

```
data_Pu2Bi5O12
_space_group_name_H-M_alt 'C 1 2/m 1'
_space_group_IT_number 12
_space_group_name_Hall '-C 2y'
_cell_length_a 13.3739
_cell_length_b 6.5585
_cell_length_c 7.5991
_cell_angle_alpha 90.00
_cell_angle_beta 107.76
_cell_angle_gamma 90.00
loop_
_atom_site_label
_atom_site_fract_x
_atom_site_fract_y
_atom_site_fract_z
Pu1 0.0000 0.2483 0.0000
Bi1 0.0000 0.0000 0.5000
Bi2 0.1851 0.5000 0.8132
Bi3 0.2188 0.5000 0.3449
O1 0.0020 0.0000 0.1885
O2 0.0089 0.5000 0.8109
O3 0.1485 0.2332 0.5959
O4 0.1674 0.2769 0.0928
```

Summary:
- calculated density (kg/m³) = 9025
- E_tot (eV per atom) = -7.388
- raw formation energy (eV/atom) = -1.727
- N(E_F) (states/eV/cell) = 21.4
- M_tot (μB per formula unit) = 7.0

---

# 4
Al2Mo | GGA-PBE | optimized geometry

```
data_Al2Mo
_space_group_name_H-M_alt 'C m c m'
_space_group_IT_number 63
_space_group_name_Hall '-C 2c 2'
_cell_length_a 3.7002
_cell_length_b 13.3732
_cell_length_c 3.6982
_cell_angle_alpha 90.00
_cell_angle_beta 90.00
_cell_angle_gamma 90.00
loop_
_atom_site_label
_atom_site_fract_x
_atom_site_fract_y
_atom_site_fract_z
Al1 0.0000 0.0703 0.2500
Al2 0.0000 0.2477 0.7500
Mo1 0.0000 0.4034 0.2500
```

Summary:
- calculated density (kg/m³) = 5441
- E_tot (eV per atom) = -6.405
- DFT formation energy (eV per atom) = -0.300
- N(E_F) (states/eV/cell) = 4.5
- M_tot (μB per formula unit) = 0.0